Entry 1:
An optimized crystal structure of Cs2CdPdCl6, computed with GGA-PBE.

The space group is R-3m (No. 166, hexagonal axes) and the conventional cell measures 7.4124, 7.4124 and 37.2969 Å, with angles of 90.00, 90.00 and 120.00 degrees. The asymmetric unit holds Cs at (0.0000, 0.0000, 0.1253), Cs at (0.0000, 0.0000, 0.2916), Cd at (0.0000, 0.0000, 0.4122), Pd at (0.0000, 0.0000, 0.0000), Pd at (0.0000, 0.0000, 0.5000), Cl at (0.0089, 0.5045, 0.7051) and Cl at (0.0157, 0.5079, 0.1248).

Its energy above the most stable polymorph in this dataset is 29 meV per atom. The calculation puts the total energy at -0.230 Ry/atom. The value obtained for the uncorrected formation energy is -120 kJ/mol of atoms.

Entry 2:
An optimized crystal structure of CoReOs2, computed with GGA-PBE.

The space group is P4/mmm (No. 123) and the conventional cell measures 2.706, 2.706 and 7.435 Å, with angles of 90.00, 90.00 and 90.00 degrees. The asymmetric unit holds Co at (0.000, 0.000, 0.000), Re at (0.000, 0.000, 0.500) and Os at (0.500, 0.500, 0.238).

Its energy above the most stable polymorph in this dataset is 56 meV per atom. The calculation puts the total energy at -0.761 Ry/atom. The value obtained for the formation energy is 145.4 meV/atom.

Entry 3:
An optimized crystal structure of Pm3MgSn, computed with GGA-PBE.

The space group is C2/c (No. 15) and the conventional cell measures 14.390, 14.007 and 6.361 Å, with angles of 90.00, 99.42 and 90.00 degrees. The asymmetric unit holds Pm at (0.079, 0.125, 0.012), Pm at (0.186, 0.455, 0.125), Pm at (0.192, 0.296, 0.693), Mg at (0.000, 0.334, 0.250), Mg at (0.000, 0.407, 0.750) and Sn at (0.140, 0.092, 0.514).

The calculation puts the total energy at -0.310 Ry/atom. The value obtained for the formation energy is -252.0 meV/atom.

| no. | D(E_F) (states/eV per cell) |
| --- | --- |
| 1 | 15.5 |
| 2 | 4.6 |
| 3 | 36.7 |